No. 1
The following is a DFT calculation (GGA-PBE) of a relaxed SrY2Cr crystal.

a b c (Å): 6.7697 6.7697 3.4951
angles (deg): 77.88 77.88 119.65
Site moments in Bohr magnetons follow the coordinates.
Fractional positions:
Y 0.0000 0.0000 0.0000  -0.03
Cr 0.5000 0.0000 0.5000  3.85
Sr 0.0000 0.5000 0.5000  0.00
Y 0.5000 0.5000 0.0000  -0.03

Values from the calculation:
formation energy from the elements	575	meV per atom
DOS(E_F)	1.417	states/eV per atom

No. 2
The following is a DFT calculation (GGA-PBE) of a relaxed NaCaZn crystal.

a b c (Å): 3.7280 3.7280 6.8176
angles (deg): 105.87 105.87 90.00
Fractional positions:
Zn 0.3292 0.3292 0.6585
Ca 0.6957 0.6957 0.3913
Na 0.9751 0.9751 0.9502

Values from the calculation:
formation energy from the elements	-18	meV per atom
DOS(E_F)	0.859	states/eV per atom

No. 3
The following is a DFT calculation (GGA-PBE) of a relaxed BaLa2Cu crystal.

a b c (Å): 10.9305 10.9305 10.9305
angles (deg): 20.92 20.92 20.92
Fractional positions:
La 0.0170 0.0170 0.0170
Cu 0.7434 0.7434 0.7434
La 0.2586 0.2586 0.2586
Ba 0.4810 0.4810 0.4810

Values from the calculation:
formation energy from the elements	136	meV per atom
DOS(E_F)	1.284	states/eV per atom

No. 4
The following is a DFT calculation (GGA-PBE) of a relaxed Nd2MgN crystal.

a b c (Å): 3.6265 3.6265 8.9580
angles (deg): 78.32 78.32 60.00
Site moments in Bohr magnetons follow the coordinates.
Fractional positions:
Nd 0.7799 0.7799 0.6602  0.05
N 0.5000 0.5000 0.5000  -0.01
Mg 0.0000 0.0000 0.0000  0.00
Nd 0.2201 0.2201 0.3398  0.05

Values from the calculation:
energy	-5.52	eV/atom
DOS(E_F)	1.097	states/eV per atom

No. 5
The following is a DFT calculation (GGA-PBE) of a relaxed Ni2HgPt crystal.

a b c (Å): 4.8097 4.8097 4.5776
angles (deg): 75.59 75.59 34.68
Site moments in Bohr magnetons follow the coordinates.
Fractional positions:
Hg 0.7418 0.7418 0.7776  -0.01
Ni 0.2602 0.2602 0.2623  0.42
Pt 0.5116 0.5116 0.4614  0.17
Ni 0.9863 0.9863 0.9987  0.39

Values from the calculation:
formation energy from the elements	117	meV per atom
DOS(E_F)	1.540	states/eV per atom

No. 6
The following is a DFT calculation (GGA-PBE) of a relaxed Rb3NpTl2Se6 crystal.

a b c (Å): 7.9013 7.9013 8.0348
angles (deg): 99.52 99.52 119.49
Fractional positions:
Se 0.0647 0.3469 0.1964
Np 0.0000 0.0000 0.0000
Rb 0.1803 0.8197 0.5000
Se 0.9353 0.6531 0.8036
Tl 0.3354 0.6646 0.0000
Se 0.3469 0.0647 0.1964
Se 0.2085 0.2085 0.7994
Rb 0.8197 0.1803 0.5000
Rb 0.5000 0.5000 0.5000
Se 0.7915 0.7915 0.2006
Tl 0.6646 0.3354 0.0000
Se 0.6531 0.9353 0.8036

Values from the calculation:
energy	-4.31	eV/atom
DOS(E_F)	0.055	states/eV per atom

No. 7
The following is a DFT calculation (GGA-PBE) of a relaxed CaBi3Rh crystal.

a b c (Å): 6.5206 9.5306 9.5306
angles (deg): 89.04 78.15 78.15
Fractional positions:
Bi 0.9845 0.5539 0.2424
Bi 0.3650 0.0385 0.2330
Bi 0.1350 0.7670 0.9615
Bi 0.6350 0.9615 0.7670
Ca 0.4925 0.4623 0.2727
Bi 0.6396 0.7022 0.0252
Bi 0.1396 0.0252 0.7022
Bi 0.4845 0.2424 0.5539
Ca 0.0075 0.7273 0.5377
Rh 0.7500 0.9736 0.0264
Bi 0.8650 0.2330 0.0385
Bi 0.0155 0.4461 0.7576
Ca 0.9925 0.2727 0.4623
Rh 0.2500 0.7679 0.2321
Rh 0.2500 0.0264 0.9736
Bi 0.8604 0.9748 0.2978
Ca 0.5075 0.5377 0.7273
Bi 0.3604 0.2978 0.9748
Bi 0.5155 0.7576 0.4461
Rh 0.7500 0.2321 0.7679

Values from the calculation:
formation energy from the elements	-313	meV per atom
DOS(E_F)	0.524	states/eV per atom

No. 8
The following is a DFT calculation (GGA-PBE) of a relaxed Pm6YTm8 crystal.

a b c (Å): 8.6662 8.6662 8.6662
angles (deg): 62.72 62.72 62.72
Fractional positions:
Pm 0.1048 0.5376 0.2250
Tm 0.7477 0.1113 0.7173
Tm 0.2523 0.8887 0.2827
Y 0.0000 0.0000 0.0000
Pm 0.7750 0.8952 0.4624
Tm 0.4234 0.4234 0.4234
Tm 0.2827 0.2523 0.8887
Tm 0.5766 0.5766 0.5766
Tm 0.8887 0.2827 0.2523
Pm 0.8952 0.4624 0.7750
Tm 0.1113 0.7173 0.7477
Pm 0.4624 0.7750 0.8952
Tm 0.7173 0.7477 0.1113
Pm 0.5376 0.2250 0.1048
Pm 0.2250 0.1048 0.5376

Values from the calculation:
formation energy from the elements	127	meV per atom
DOS(E_F)	1.480	states/eV per atom

No. 9
The following is a DFT calculation (GGA-PBE) of a relaxed ScAlSi4 crystal.

a b c (Å): 5.0673 5.0673 5.0673
angles (deg): 60.00 60.00 60.00
Fractional positions:
Sc 0.0000 0.0000 0.0000
Al 0.2500 0.2500 0.2500
Si 0.1252 0.6249 0.6249
Si 0.6249 0.6249 0.6249
Si 0.6249 0.1252 0.6249
Si 0.6249 0.6249 0.1252

Values from the calculation:
energy	-5.32	eV/atom
DOS(E_F)	0.547	states/eV per atom

No. 10
The following is a DFT calculation (GGA-PBE) of a relaxed YMg2 crystal.

a b c (Å): 3.3861 3.3861 16.2434
angles (deg): 90.00 90.00 120.00
Fractional positions:
Y 0.3333 0.6667 0.2500
Y 0.6667 0.3333 0.7500
Mg 0.6667 0.3333 0.4214
Mg 0.6667 0.3333 0.0786
Mg 0.3333 0.6667 0.5786
Mg 0.3333 0.6667 0.9214

Values from the calculation:
formation energy from the elements	32	meV per atom
DOS(E_F)	0.803	states/eV per atom

No. 11
The following is a DFT calculation (GGA-PBE) of a relaxed MnReCl2 crystal.

a b c (Å): 3.1021 3.1021 9.3246
angles (deg): 90.00 90.00 124.07
Site moments in Bohr magnetons follow the coordinates.
Fractional positions:
Mn 0.5000 0.5000 0.2500  4.11
Cl 0.0000 0.0000 0.9570  0.02
Re 0.5000 0.5000 0.7500  0.06
Cl 0.0000 0.0000 0.5430  0.02

Values from the calculation:
energy	-5.74	eV/atom
DOS(E_F)	0.432	states/eV per atom

No. 12
The following is a DFT calculation (GGA-PBE) of a relaxed PuMgTlAu crystal.

a b c (Å): 5.1143 5.1143 5.1143
angles (deg): 60.00 60.00 60.00
Site moments in Bohr magnetons follow the coordinates.
Fractional positions:
Pu 0.2500 0.2500 0.2500  5.35
Tl 0.5000 0.5000 0.5000  0.04
Mg 0.7500 0.7500 0.7500  0.00
Au 0.0000 0.0000 0.0000  0.03

Values from the calculation:
formation energy from the elements	-238	meV per atom
DOS(E_F)	3.115	states/eV per atom

No. 13
The following is a DFT calculation (GGA-PBE) of a relaxed BaCu2As crystal.

a b c (Å): 5.3151 5.3151 5.3151
angles (deg): 131.53 107.01 92.55
Fractional positions:
As 0.5931 0.5931 0.0000
Cu 0.9151 0.9151 0.0000
Ba 0.2563 0.7563 0.5000
Cu 0.7355 0.2355 0.5000

Values from the calculation:
formation energy from the elements	-133	meV per atom
DOS(E_F)	0.747	states/eV per atom

No. 14
The following is a DFT calculation (GGA-PBE) of a relaxed YPuCd4 crystal.

a b c (Å): 5.9351 5.9351 5.9351
angles (deg): 60.00 60.00 60.00
Site moments in Bohr magnetons follow the coordinates.
Fractional positions:
Cd 0.6251 0.6251 0.6251  -0.01
Cd 0.6251 0.6251 0.1247  -0.01
Pu 0.2500 0.2500 0.2500  5.48
Y 0.0000 0.0000 0.0000  0.07
Cd 0.1247 0.6251 0.6251  -0.01
Cd 0.6251 0.1247 0.6251  -0.01

Values from the calculation:
formation energy from the elements	-137	meV per atom
DOS(E_F)	2.157	states/eV per atom

No. 15
The following is a DFT calculation (GGA-PBE) of a relaxed CrCd2Ag crystal.

a b c (Å): 6.7943 5.1312 3.0696
angles (deg): 90.56 62.19 121.50
Site moments in Bohr magnetons follow the coordinates.
Fractional positions:
Ag 0.5000 0.5000 0.0000  0.01
Cd 0.5000 0.0000 0.5000  -0.03
Cr 0.0000 0.5000 0.5000  3.60
Cd 0.0000 0.0000 0.0000  -0.03

Values from the calculation:
formation energy from the elements	251	meV per atom
DOS(E_F)	0.474	states/eV per atom

No. 16
The following is a DFT calculation (GGA-PBE) of a relaxed LaZnSi crystal.

a b c (Å): 4.2880 4.2880 7.9244
angles (deg): 105.70 105.70 90.00
Fractional positions:
Zn 0.8347 0.3347 0.6695
Zn 0.6653 0.1653 0.3305
Si 0.0815 0.0815 0.1630
La 0.5000 0.5000 0.0000
Si 0.9185 0.9185 0.8370
La 0.2500 0.7500 0.5000

Values from the calculation:
energy	-4.50	eV/atom
DOS(E_F)	0.466	states/eV per atom

No. 17
The following is a DFT calculation (GGA-PBE) of a relaxed La10Nd3In3 crystal.

a b c (Å): 6.5561 9.8935 9.8935
angles (deg): 120.00 90.00 90.00
Fractional positions:
La 0.0000 0.7717 0.7717
In 0.5000 0.0000 0.4038
La 0.7292 0.6667 0.3333
Nd 0.0000 0.5871 0.0000
In 0.5000 0.5962 0.5962
La 0.2708 0.6667 0.3333
La 0.5000 0.0000 0.7654
La 0.5000 0.7654 0.0000
In 0.5000 0.4038 0.0000
La 0.2708 0.3333 0.6667
La 0.5000 0.2346 0.2346
Nd 0.0000 0.0000 0.5871
La 0.0000 0.2283 0.0000
La 0.7292 0.3333 0.6667
La 0.0000 0.0000 0.2283
Nd 0.0000 0.4129 0.4129

Values from the calculation:
formation energy from the elements	-128	meV per atom
DOS(E_F)	1.556	states/eV per atom

No. 18
The following is a DFT calculation (GGA-PBE) of a relaxed NbRh crystal.

a b c (Å): 8.2984 8.2984 4.0025
angles (deg): 90.00 90.00 90.00
Fractional positions:
Nb 0.1942 0.5000 0.5000
Rh 0.1664 0.1664 0.5000
Rh 0.8336 0.8336 0.5000
Rh 0.6664 0.3336 0.0000
Nb 0.8058 0.5000 0.5000
Rh 0.8336 0.1664 0.5000
Nb 0.0000 0.6942 0.0000
Rh 0.1664 0.8336 0.5000
Nb 0.5000 0.8058 0.5000
Nb 0.3058 0.0000 0.0000
Rh 0.6664 0.6664 0.0000
Rh 0.3336 0.3336 0.0000
Nb 0.0000 0.3058 0.0000
Nb 0.5000 0.1942 0.5000
Rh 0.3336 0.6664 0.0000
Nb 0.6942 0.0000 0.0000

Values from the calculation:
formation energy from the elements	-161	meV per atom
DOS(E_F)	1.177	states/eV per atom

No. 19
The following is a DFT calculation (GGA-PBE) of a relaxed RbMg7Tl12 crystal.

a b c (Å): 9.5336 9.5336 9.5336
angles (deg): 109.47 109.47 109.47
Fractional positions:
Tl 0.7619 0.1082 0.3463
Tl 0.1082 0.3463 0.7619
Tl 0.6537 0.7619 0.4156
Mg 0.5000 0.5000 0.0000
Mg 0.5000 0.5000 0.5000
Tl 0.2381 0.8918 0.6537
Tl 0.6537 0.2381 0.8918
Tl 0.4156 0.6537 0.7619
Tl 0.2381 0.5844 0.3463
Mg 0.0000 0.5000 0.5000
Mg 0.0000 0.5000 0.0000
Tl 0.7619 0.4156 0.6537
Tl 0.8918 0.6537 0.2381
Tl 0.5844 0.3463 0.2381
Rb 0.0000 0.0000 0.0000
Tl 0.3463 0.2381 0.5844
Mg 0.0000 0.0000 0.5000
Mg 0.5000 0.0000 0.0000
Tl 0.3463 0.7619 0.1082
Mg 0.5000 0.0000 0.5000

Values from the calculation:
formation energy from the elements	107	meV per atom
DOS(E_F)	0.614	states/eV per atom

No. 20
The following is a DFT calculation (GGA-PBE) of a relaxed Ti6CN3O2 crystal.

a b c (Å): 5.2614 5.2614 5.2375
angles (deg): 99.59 99.59 120.07
Fractional positions:
C 0.0000 0.0000 0.0000
O 0.3318 0.6682 0.0000
N 0.5000 0.5000 0.5000
Ti 0.7666 0.7666 0.2617
N 0.8303 0.1697 0.5000
O 0.6682 0.3318 0.0000
Ti 0.5956 0.9117 0.7342
Ti 0.2334 0.2334 0.7383
Ti 0.9117 0.5956 0.7342
N 0.1697 0.8303 0.5000
Ti 0.4044 0.0883 0.2658
Ti 0.0883 0.4044 0.2658

Values from the calculation:
energy	-9.49	eV/atom
DOS(E_F)	0.429	states/eV per atom